# AlReN2

AlReN2 after structural relaxation (GGA-PBE, the Alexandria database).

a b c (Å): 4.657 4.657 5.365
angles (deg): 64.28 64.28 90.00
Last column: magnetic moment on the atom in μB.
Fractional positions:
Re1 0.000 0.000 0.000  0.64
Re2 0.750 0.250 0.500  0.64
Al1 0.250 0.750 0.500  0.01
Al2 0.500 0.500 0.000  0.01
N1 0.152 0.625 0.250  0.02
N2 0.875 0.848 0.750  0.02
N3 0.598 0.125 0.250  0.02
N4 0.375 0.402 0.750  0.02

Results
D(E_F): 0.55 states/eV/atom
Formation energy without anion corrections: -0.19 eV/atom
Space-group type: I-42d, No. 122
Final energy: -8.402 eV/atom